Density functional theory data (PBE) for a relaxed Na2Cd8Rh3 crystal.

Lattice parameters (Å, degrees): 8.5595 4.4706 9.2464 90.00 116.98 90.00
Space group P2/m (No. 10)
Symmetry-distinct sites (fractional):
Na  0.2483  0.0000  0.4926
Cd  0.1044  0.5000  0.2127
Cd  0.1679  0.0000  0.8014
Cd  0.3637  0.0000  0.1965
Cd  0.4001  0.5000  0.7965
Rh  0.0000  0.0000  0.0000
Rh  0.2451  0.5000  0.9996

Final energy (eV/atom): -2.4624


Density functional theory data (PBE) for a relaxed ScZnPt crystal.

Lattice parameters (Å, degrees): 4.2883 9.2103 5.2982 90.00 90.00 90.00
Space group Cmcm (No. 63)
Symmetry-distinct sites (fractional):
Sc  0.0000  0.2093  0.2500
Zn  0.0000  0.5000  0.0000
Pt  0.0000  0.1011  0.7500

Final energy (eV/atom): -5.4940


Density functional theory data (PBE) for a relaxed Li2NbCu crystal.

Lattice parameters (Å, degrees): 6.9146 6.9146 5.1095 90.00 90.00 90.00
Space group I-42d (No. 122)
Symmetry-distinct sites (fractional):
Li  0.2124  0.7500  0.1250
Nb  0.0000  0.0000  0.5000
Cu  0.0000  0.0000  0.0000

Excess energy over the best structure of this formula in the dataset (meV per atom): 395
Final energy (eV/atom): -3.8393


Number 1: energy of formation 0.00 eV/atom. Number 2: energy of formation -0.95 eV/atom. Number 3: energy of formation 0.66 eV/atom.